Entry from the Alexandria database: a relaxed structure of Li2HPtAu (GGA-PBE).

Geometry as POSCAR:
```
Li2HPtAu
1.0
-0.2925 2.5041 -3.1519
0.4185 -3.1241 -2.5209
-3.6649 -0.4664 -0.0304
Li H Au Pt
2 1 1 1
Direct
0.0000 0.5000 0.0000
0.5000 0.0000 0.0000
0.0000 0.0000 0.0000
0.5000 0.5000 0.5000
0.0000 0.0000 0.5000
```

- distance to the lowest polymorph of the same formula (meV/atom) = 0
- magnetization (μB/cell) = 0.00

=====

Entry from the Alexandria database: a relaxed structure of Li2HPtAu (GGA-PBE).

Geometry as POSCAR:
```
Li2HPtAu
1.0
4.0066 0.0000 0.0000
0.0000 4.0066 0.0000
0.0000 0.0000 3.7514
H Au Li Pt
1 1 2 1
Direct
0.0000 0.0000 0.0000
0.0000 0.0000 0.5000
0.5000 0.0000 0.0000
0.0000 0.5000 0.0000
0.5000 0.5000 0.5000
```

- distance to the lowest polymorph of the same formula (meV/atom) = 132
- magnetization (μB/cell) = 0.00

=====

Entry from the Alexandria database: a relaxed structure of Li2H6PtAu (GGA-PBE).

Geometry as POSCAR:
```
Li2H6PtAu
1.0
5.0919 -0.0144 -0.0245
-0.0145 5.0901 -0.0253
-2.5528 -2.5521 3.6226
Li Au H Pt
2 1 6 1
Direct
0.7482 0.2521 0.5002
0.2517 0.7484 0.4997
0.4999 0.5004 0.9998
0.8028 0.8047 0.0779
0.2757 0.2772 0.4721
0.2375 0.7624 0.0008
0.7241 0.7237 0.5274
0.7622 0.2384 0.9987
0.1969 0.1961 0.9215
0.9999 0.0004 0.9997
```

- magnetization (μB/cell) = 0.00
- total energy (eV for the cell shown) = -35.68

=====

Entry from the Alexandria database: a relaxed structure of Rb2LiH4Au (GGA-PBE).

Geometry as POSCAR:
```
Rb2LiH4Au
1.0
-2.9120 3.9483 -0.7449
-1.5379 0.8107 -6.2197
-10.0118 -4.0858 0.9532
Li H Rb Au
2 8 4 2
Direct
0.0000 0.0000 0.0000
0.7500 0.5000 0.5000
0.5243 0.3270 0.5882
0.6013 0.1730 0.0882
0.2257 0.1730 0.9118
0.4395 0.6730 0.4118
0.8875 0.6730 0.5882
0.3105 0.8270 0.0882
0.8625 0.8270 0.9118
0.1487 0.3270 0.4118
0.9219 0.5000 0.1561
0.8281 0.0000 0.3439
0.1719 0.0000 0.6561
0.5781 0.5000 0.8439
0.2500 0.5000 0.5000
0.5000 0.0000 0.0000
```

- magnetization (μB/cell) = 0.00
- total energy (eV for the cell shown) = -44.87

=====

Entry from the Alexandria database: a relaxed structure of Rb2LiH6Au2 (GGA-PBE).

Geometry as POSCAR:
```
Rb2LiH6Au2
1.0
-0.9687 0.6903 -4.7588
-1.7159 -6.7038 1.9050
-4.2413 5.6829 1.6877
Au Rb H Li
2 2 6 1
Direct
0.0049 0.0099 0.2964
0.9951 0.9901 0.7036
0.6842 0.3684 0.1814
0.3158 0.6316 0.8186
0.1407 0.2814 0.3374
0.3432 0.1975 0.7488
0.1457 0.8025 0.2512
0.6568 0.8025 0.2512
0.8593 0.7186 0.6626
0.8543 0.1975 0.7488
0.5000 0.0000 0.5000
```

- magnetization (μB/cell) = 0.00
- total energy (eV for the cell shown) = -31.69

=====

Entry from the Alexandria database: a relaxed structure of Rb2LiHAu (GGA-PBE).

Geometry as POSCAR:
```
Rb2LiHAu
1.0
5.9721 0.0000 0.0000
0.0000 5.9721 0.0000
0.0000 0.0000 4.1593
Li Rb H Au
1 2 1 1
Direct
0.0000 0.0000 0.5000
0.5000 0.0000 0.0000
0.0000 0.5000 0.0000
0.0000 0.0000 0.0000
0.5000 0.5000 0.5000
```

- magnetization (μB/cell) = 0.61
- total energy (eV for the cell shown) = -10.89

=====

Entry from the Alexandria database: a relaxed structure of Li2H6RhAu (GGA-PBE).

Geometry as POSCAR:
```
Li2H6RhAu
1.0
-0.9707 0.3656 -4.7744
-4.2306 -2.3370 0.6951
0.9469 4.1555 2.6173
H Rh Au Li
6 1 1 2
Direct
0.6933 0.7724 0.5427
0.3065 0.2284 0.4564
0.1913 0.1855 0.8956
0.8110 0.2915 0.1017
0.1892 0.7096 0.8990
0.8082 0.8149 0.1031
0.9998 0.0004 0.9996
0.5000 0.5003 0.9999
0.7500 0.2509 0.5008
0.2497 0.7501 0.4990
```

- magnetization (μB/cell) = 0.00
- total energy (eV for the cell shown) = -36.67

=====

Entry from the Alexandria database: a relaxed structure of LiHRh2Au (GGA-PBE).

Geometry as POSCAR:
```
LiHRh2Au
1.0
-0.3612 -3.6680 1.1997
-0.5918 -1.1380 -3.6576
3.9560 -0.5435 -0.4709
Au Li H Rh
1 1 1 2
Direct
0.5000 0.5000 0.5000
0.0000 0.0000 0.5000
0.0000 0.0000 0.0000
0.5000 0.0000 0.0000
0.0000 0.5000 0.0000
```

- distance to the lowest polymorph of the same formula (meV/atom) = 0
- magnetization (μB/cell) = 0.00

=====

Entry from the Alexandria database: a relaxed structure of LiHRh2Au (GGA-PBE).

Geometry as POSCAR:
```
LiHRh2Au
1.0
-3.3114 -0.0926 -1.9703
-1.7897 -1.4777 3.0773
-0.9009 3.8661 1.3325
Au Li H Rh
1 1 1 2
Direct
0.0000 0.0000 0.5000
0.5000 0.5000 0.5000
0.0000 0.0000 0.0000
0.5000 0.0000 0.0000
0.0000 0.5000 0.0000
```

- distance to the lowest polymorph of the same formula (meV/atom) = 116
- magnetization (μB/cell) = 0.32

=====

Entry from the Alexandria database: a relaxed structure of Li2HRhAu (GGA-PBE).

Geometry as POSCAR:
```
Li2HRhAu
1.0
-3.7273 -1.5796 0.4395
0.9903 -3.0387 -2.5232
1.1288 -1.9029 2.7346
H Li Au Rh
1 2 1 1
Direct
0.0000 0.0000 0.0000
0.0000 0.5000 0.0000
0.5000 0.0000 0.0000
0.5000 0.5000 0.5000
0.0000 0.0000 0.5000
```

- magnetization (μB/cell) = 0.00
- total energy (eV for the cell shown) = -19.86

=====

Entry from the Alexandria database: a relaxed structure of Li2HRuAu (GGA-PBE).

Geometry as POSCAR:
```
Li2HRuAu
1.0
3.9769 0.0000 0.0000
0.0000 3.9769 0.0000
0.0000 0.0000 3.6771
Ru Au Li H
1 1 2 1
Direct
0.0000 0.0000 0.5000
0.5000 0.5000 0.5000
0.0000 0.5000 0.0000
0.5000 0.0000 0.0000
0.0000 0.0000 0.0000
```

- magnetization (μB/cell) = 0.20
- total energy (eV for the cell shown) = -20.55

=====

Entry from the Alexandria database: a relaxed structure of LiHAuS2 (GGA-PBE).

Geometry as POSCAR:
```
LiHAuS2
1.0
4.7822 0.0000 0.0000
0.0000 5.2000 0.0000
0.0000 0.0000 4.7822
Li S Au H
1 2 1 1
Direct
0.0000 0.5000 0.0000
0.5000 0.0000 0.0000
0.0000 0.0000 0.5000
0.0000 0.0000 0.0000
0.5000 0.5000 0.5000
```

- magnetization (μB/cell) = 1.66
- total energy (eV for the cell shown) = -13.72